# 1
Computed, not measured: a relaxed structure of AgHSCl2 at the GGA-PBE level of DFT.

space group: P4/mmm
spin magnetization: 2.77 Bohr magnetons per cell
energy above the most stable polymorph in this dataset: 356 meV per atom

Structure (CIF):
```
data_AgHSCl2
_symmetry_space_group_name_H-M 'P 1'
_symmetry_Int_Tables_number 1
_cell_length_a 5.0854
_cell_length_b 5.0854
_cell_length_c 4.8910
_cell_angle_alpha 90.00
_cell_angle_beta 90.00
_cell_angle_gamma 90.00
loop_
_symmetry_equiv_pos_as_xyz
'x,y,z'
loop_
_atom_site_label
_atom_site_fract_x
_atom_site_fract_y
_atom_site_fract_z
_atom_site_occupancy
H1 0.5000 0.5000 0.5000 1
S1 0.0000 0.0000 0.5000 1
Ag1 0.0000 0.0000 0.0000 1
Cl1 0.0000 0.5000 0.0000 1
Cl2 0.5000 0.0000 0.0000 1
```

---

# 2
Computed, not measured: a relaxed structure of TaCo2S at the GGA-PBE level of DFT.

space group: I-42d
uncorrected formation energy: 252.5 meV/atom
spin magnetization: 0.00 Bohr magnetons per cell

Structure (CIF):
```
data_TaCo2S
_symmetry_space_group_name_H-M 'P 1'
_symmetry_Int_Tables_number 1
_cell_length_a 5.1543
_cell_length_b 5.1543
_cell_length_c 6.3117
_cell_angle_alpha 65.90
_cell_angle_beta 65.90
_cell_angle_gamma 90.00
loop_
_symmetry_equiv_pos_as_xyz
'x,y,z'
loop_
_atom_site_label
_atom_site_fract_x
_atom_site_fract_y
_atom_site_fract_z
_atom_site_occupancy
S1 0.5000 0.5000 0.0000 1
S2 0.2500 0.7500 0.5000 1
Co1 0.5747 0.1250 0.2500 1
Co2 0.1753 0.6250 0.2500 1
Co3 0.3750 0.4253 0.7500 1
Co4 0.8750 0.8247 0.7500 1
Ta1 0.0000 0.0000 0.0000 1
Ta2 0.7500 0.2500 0.5000 1
```

---

# 3
Computed, not measured: a relaxed structure of Be2CoBr at the GGA-PBE level of DFT.

space group: P4mm
uncorrected formation energy: 358.6 meV/atom
spin magnetization: 0.00 Bohr magnetons per cell
energy above the most stable polymorph in this dataset: 227 meV per atom

Structure (CIF):
```
data_Be2CoBr
_symmetry_space_group_name_H-M 'P 1'
_symmetry_Int_Tables_number 1
_cell_length_a 3.0326
_cell_length_b 3.0326
_cell_length_c 6.6659
_cell_angle_alpha 90.00
_cell_angle_beta 90.00
_cell_angle_gamma 90.03
loop_
_symmetry_equiv_pos_as_xyz
'x,y,z'
loop_
_atom_site_label
_atom_site_fract_x
_atom_site_fract_y
_atom_site_fract_z
_atom_site_occupancy
Be1 0.0000 0.0000 0.9910 1
Be2 0.5000 0.5000 0.2049 1
Co1 0.5000 0.5000 0.9047 1
Br1 0.0000 0.0000 0.3994 1
```

---

Number 1: energy -2.09 eV/atom. Number 2: energy -7.30 eV/atom. Number 3: energy -3.70 eV/atom.